The following is a GGA-PBE calculation of a relaxed structure of Pm3Co4Cu2, from the Alexandria database.

magnetization: 0.34 μB/cell
E_form: -0.0859 eV per atom

a b c (Å): 4.0168 4.0168 24.0538
angles (deg): 90.00 90.00 120.00
Fractional positions:
Pm: 0.0000 0.0000 0.0837
Pm: 0.0000 0.0000 0.2502
Pm: 0.0000 0.0000 0.4121
Pm: 0.0000 0.0000 0.5879
Pm: 0.0000 0.0000 0.7498
Pm: 0.0000 0.0000 0.9163
Co: 0.3333 0.6667 0.0000
Co: 0.3333 0.6667 0.1668
Co: 0.3333 0.6667 0.3333
Co: 0.3333 0.6667 0.6667
Co: 0.3333 0.6667 0.8332
Co: 0.6667 0.3333 0.0000
Co: 0.6667 0.3333 0.3333
Co: 0.6667 0.3333 0.6667
Cu: 0.3333 0.6667 0.5000
Cu: 0.6667 0.3333 0.1670
Cu: 0.6667 0.3333 0.5000
Cu: 0.6667 0.3333 0.8330